[1]
DFT (PBE) results for crystalline PuZnSn at its relaxed geometry.

Cell: 4.7320 7.2734 8.1822 Å, 90.00 90.00 90.00°
With the nearest neighbours (Å) after each atom.
Space group Imm2 (No. 44)
Unique sites:
Pu (0.0000, 0.0000, 0.0000) (multiplicity 2)  2 Zn 3.11, 6 Sn 3.24-3.30
Pu (0.0000, 0.5000, 0.0171) (multiplicity 2)  6 Zn 3.12-3.45, 6 Sn 3.26-3.34
Zn (0.0000, 0.1936, 0.3388) (multiplicity 4)  3 Sn 2.75-2.77, 1 Zn 2.82
Sn (0.0000, 0.2524, 0.6737) (multiplicity 4)  3 Zn 2.75-2.77

Summary:
D(E_F) in states/eV per atom: 4.34
Uncorrected energy in eV/cell: -81.19
Spin magnetization in μB/f.u.: 0.08
Formation energy from the elements in eV per formula unit: -0.69

***

[2]
DFT (PBE) results for crystalline Pu2ZnSn at its relaxed geometry.

Cell: 5.9944 6.9397 4.5723 Å, 90.00 90.00 90.00°
With the nearest neighbours (Å) after each atom.
Space group Cmmm (No. 65)
Unique sites:
Pu (0.2500, 0.2500, 0.0000) (multiplicity 4)  2 Pu 3.00, 4 Sn 3.24, 4 Zn 3.24
Zn (0.0000, 0.0000, 0.5000) (multiplicity 2)  2 Sn 3.00, 8 Pu 3.24
Sn (0.0000, 0.5000, 0.5000) (multiplicity 2)  2 Zn 3.00, 8 Pu 3.24

Summary:
D(E_F) in states/eV per atom: 2.86
Uncorrected energy in eV/cell: -69.71
Spin magnetization in μB/f.u.: 11.44
Formation energy from the elements in eV per formula unit: -0.91

***

[3]
DFT (PBE) results for crystalline PuZnSn at its relaxed geometry.

Cell: 4.7841 4.7841 3.4894 Å, 90.00 90.00 120.00°
With the nearest neighbours (Å) after each atom.
Space group P-6m2 (No. 187)
Unique sites:
Pu (0.0000, 0.0000, 0.0000) (multiplicity 1)  6 Sn 3.27, 6 Zn 3.27, 2 Pu 3.49
Zn (0.3333, 0.6667, 0.5000) (multiplicity 1)  3 Sn 2.76
Sn (0.6667, 0.3333, 0.5000) (multiplicity 1)  3 Zn 2.76

Summary:
D(E_F) in states/eV per atom: 2.47
Uncorrected energy in eV/cell: -20.39
Spin magnetization in μB/f.u.: 5.99
Formation energy from the elements in eV per formula unit: -0.78

***

[4]
DFT (PBE) results for crystalline PuZn2Sn at its relaxed geometry.

Cell: 6.9296 6.9296 6.9296 Å, 90.00 90.00 90.00°
With the nearest neighbours (Å) after each atom.
Space group Fm-3m (No. 225)
Unique sites:
Pu (0.0000, 0.0000, 0.0000) (multiplicity 4)  8 Zn 3.00
Zn (0.2500, 0.2500, 0.2500) (multiplicity 8)  4 Sn 3.00, 4 Pu 3.00
Sn (0.0000, 0.0000, 0.5000) (multiplicity 4)  8 Zn 3.00

Summary:
D(E_F) in states/eV per atom: 2.22
Uncorrected energy in eV/cell: -85.71
Spin magnetization in μB/f.u.: 5.58
Formation energy from the elements in eV per formula unit: -0.54

***

[5]
DFT (PBE) results for crystalline PuZrSn2 at its relaxed geometry.

Cell: 3.3467 3.3467 30.8956 Å, 90.00 90.00 120.00°
With the nearest neighbours (Å) after each atom.
Space group R-3m (No. 166, hexagonal axes)
Unique sites:
Pu (0.0000, 0.0000, 0.0000) (multiplicity 3)  6 Sn 3.34, 6 Pu 3.35
Zr (0.0000, 0.0000, 0.5000) (multiplicity 3)  6 Sn 3.10, 6 Zr 3.35
Sn (0.0000, 0.0000, 0.2453) (multiplicity 6)  3 Zr 3.10, 3 Pu 3.34, 6 Sn 3.35

Summary:
D(E_F) in states/eV per atom: 2.46
Uncorrected energy in eV/cell: -95.61
Spin magnetization in μB/f.u.: 6.06
Formation energy from the elements in eV per formula unit: -0.98

***

[6]
DFT (PBE) results for crystalline Pu2ZrSn at its relaxed geometry.

Cell: 7.4181 7.4181 7.4181 Å, 90.00 90.00 90.00°
With the nearest neighbours (Å) after each atom.
Space group Fm-3m (No. 225)
Unique sites:
Pu (0.2500, 0.2500, 0.2500) (multiplicity 8)  4 Zr 3.21, 4 Sn 3.21
Zr (0.0000, 0.0000, 0.0000) (multiplicity 4)  8 Pu 3.21
Sn (0.0000, 0.0000, 0.5000) (multiplicity 4)  8 Pu 3.21

Summary:
D(E_F) in states/eV per atom: 3.36
Uncorrected energy in eV/cell: -163.41
Spin magnetization in μB/f.u.: 12.24
Formation energy from the elements in eV per formula unit: 0.36